No. 1
The following is a DFT calculation (PBE) of crystalline Mo2AsW2 at its relaxed geometry.

Cell lengths 6.5996, 6.5996, 6.5996 Å; angles 144.58, 144.58, 50.97 degrees
Sites, in units of the cell vectors:
Mo  0.1139  0.1139  0.0000
Mo  0.8861  0.8861  0.0000
As  0.5000  0.5000  0.0000
W  0.2500  0.7500  0.5000
W  0.7500  0.2500  0.5000

Computed properties:
Excess energy over the best structure of this formula in the dataset ... 167 meV/atom
Total DFT energy (no corrections) ... -9.60 eV/atom
Formation enthalpy at 0 K ... 4.24 eV/f.u.

***

No. 2
The following is a DFT calculation (PBE) of crystalline MoAsW2 at its relaxed geometry.

Cell lengths 2.8496, 2.8496, 8.4972 Å; angles 90.00, 90.00, 110.82 degrees
Sites, in units of the cell vectors:
Mo  0.0000  0.0000  0.0000
As  0.0000  0.0000  0.5000
W  0.5000  0.5000  0.2529
W  0.5000  0.5000  0.7471

Computed properties:
Total DFT energy (no corrections) ... -10.00 eV/atom
Formation enthalpy at 0 K ... 1.40 eV/f.u.

***

No. 3
The following is a DFT calculation (PBE) of crystalline MoAs2W2 at its relaxed geometry.

Cell lengths 5.5197, 5.5197, 5.5197 Å; angles 130.99, 130.99, 71.83 degrees
Sites, in units of the cell vectors:
Mo  0.0000  0.0000  0.0000
As  0.2500  0.7500  0.5000
As  0.7500  0.2500  0.5000
W  0.3687  0.3687  0.0000
W  0.6313  0.6313  0.0000

Computed properties:
Excess energy over the best structure of this formula in the dataset ... 485 meV/atom
Total DFT energy (no corrections) ... -8.34 eV/atom
Formation enthalpy at 0 K ... 4.33 eV/f.u.

***

No. 4
The following is a DFT calculation (PBE) of crystalline MoAsW2 at its relaxed geometry.

Cell lengths 2.9689, 4.1812, 5.1450 Å; angles 90.00, 90.00, 90.00 degrees
Sites, in units of the cell vectors:
Mo  0.0000  0.0000  0.0000
As  0.5000  0.5000  0.7607
W  0.0000  0.0000  0.5046
W  0.5000  0.5000  0.2607

Computed properties:
Total DFT energy (no corrections) ... -10.08 eV/atom
Formation enthalpy at 0 K ... 1.08 eV/f.u.

***

No. 5
The following is a DFT calculation (PBE) of crystalline MoAs2W2 at its relaxed geometry.

Cell lengths 7.1165, 7.1165, 3.2441 Å; angles 90.00, 90.00, 90.00 degrees
Sites, in units of the cell vectors:
Mo  0.0000  0.0000  0.0000
Mo  0.5000  0.5000  0.0000
As  0.1597  0.3403  0.5000
As  0.3403  0.8403  0.5000
As  0.6597  0.1597  0.5000
As  0.8403  0.6597  0.5000
W  0.1403  0.6403  0.0000
W  0.3597  0.1403  0.0000
W  0.6403  0.8597  0.0000
W  0.8597  0.3597  0.0000

Computed properties:
Excess energy over the best structure of this formula in the dataset ... 173 meV/atom
Total DFT energy (no corrections) ... -8.65 eV/atom
Formation enthalpy at 0 K ... 2.77 eV/f.u.

***

No. 6
The following is a DFT calculation (PBE) of crystalline MoAsW2 at its relaxed geometry.

Cell lengths 8.7024, 8.7024, 8.7024 Å; angles 19.52, 19.52, 19.52 degrees
Sites, in units of the cell vectors:
Mo  0.0000  0.0000  0.0000
As  0.7468  0.7468  0.7468
W  0.2477  0.2477  0.2477
W  0.4939  0.4939  0.4939

Computed properties:
Total DFT energy (no corrections) ... -9.97 eV/atom
Formation enthalpy at 0 K ... 1.50 eV/f.u.

***

No. 7
The following is a DFT calculation (PBE) of crystalline MoAs2W2 at its relaxed geometry.

Cell lengths 7.0041, 7.0041, 3.2459 Å; angles 90.00, 90.00, 90.00 degrees
Sites, in units of the cell vectors:
Mo  0.0000  0.0000  0.0000
Mo  0.5000  0.5000  0.0000
As  0.1583  0.3417  0.0000
As  0.3417  0.8417  0.0000
As  0.6583  0.1583  0.0000
As  0.8417  0.6583  0.0000
W  0.1387  0.6387  0.5000
W  0.3613  0.1387  0.5000
W  0.6387  0.8613  0.5000
W  0.8613  0.3613  0.5000

Computed properties:
Excess energy over the best structure of this formula in the dataset ... 0 meV/atom
Total DFT energy (no corrections) ... -8.83 eV/atom
Formation enthalpy at 0 K ... 1.90 eV/f.u.

***

No. 8
The following is a DFT calculation (PBE) of crystalline MoAsW4 at its relaxed geometry.

Cell lengths 5.2756, 5.2756, 5.2756 Å; angles 60.00, 60.00, 60.00 degrees
Sites, in units of the cell vectors:
Mo  0.0000  0.0000  0.0000
As  0.2500  0.2500  0.2500
W  0.1246  0.6251  0.6251
W  0.6251  0.1246  0.6251
W  0.6251  0.6251  0.1246
W  0.6251  0.6251  0.6251

Computed properties:
Total DFT energy (no corrections) ... -10.54 eV/atom
Formation enthalpy at 0 K ... 4.04 eV/f.u.